(1)
Computed, not measured: a relaxed NbSn crystal at the PBE level of DFT.

Summary:
The raw total energy comes out at -14.10 eV for the cell shown.

Cell and atoms, written as extended XYZ:
```
2
Lattice="3.210 0.000 0.000 -1.605 2.780 0.000 0.000 0.000 4.558" Properties=species:S:1:pos:R:3 pbc="T T T"
Nb 0.000 0.000 0.000
Sn 1.605 0.927 2.279
```

(2)
Computed, not measured: a relaxed Nb2Sn3 crystal at the PBE level of DFT.

Summary:
The raw total energy comes out at -131.10 eV for the cell shown.

Cell and atoms, written as extended XYZ:
```
20
Lattice="2.956 -10.208 0.000 2.956 10.208 0.000 0.000 0.000 7.140" Properties=species:S:1:pos:R:3 pbc="T T T"
Nb 2.956 8.614 6.724
Nb 1.478 3.418 5.355
Nb 1.478 -3.418 1.785
Nb 2.956 1.594 3.154
Nb 2.956 -1.594 3.986
Nb 4.434 3.418 5.355
Nb 4.434 -3.418 1.785
Nb 2.956 -8.614 0.416
Sn 2.956 7.703 4.095
Sn 2.956 5.688 6.585
Sn 1.478 0.500 5.355
Sn 1.478 -0.500 1.785
Sn 2.956 4.521 3.015
Sn 2.956 2.506 0.525
Sn 2.956 -2.506 6.615
Sn 2.956 -4.521 4.125
Sn 4.434 0.500 5.355
Sn 4.434 -0.500 1.785
Sn 2.956 -5.688 0.555
Sn 2.956 -7.703 3.045
```

Number 1 is which compound? NbSn

raw total energy of number 2 (Nb2Sn3)? -131.10 eV for the cell shown

Which formula does entry 1 have? NbSn

Which value of raw total energy does entry 1 give? -14.10 eV for the cell shown